[1]
# Ba2InH | Alexandria via LeMat-Bulk | PBE | relaxed
# Energy above the most stable polymorph in this dataset, meV/atom: 0.0
# Magnetization, μB per atom: 0.00
# Fermi-level density of states, states/eV per cell: 14.08
# Space-group type: No. 62
# E, eV/atom: -2.826
data_Ba2InH
_chemical_formula_sum 'Ba8 In4 H4'
_cell_length_a 5.776
_cell_length_b 7.668
_cell_length_c 11.813
_cell_angle_alpha 90.00
_cell_angle_beta 90.00
_cell_angle_gamma 90.00
_symmetry_space_group_name_H-M 'P 1'
_symmetry_Int_Tables_number 1
_symmetry_space_group_name_Hall 'P 1'
loop_
_atom_site_label
_atom_site_fract_x
_atom_site_fract_y
_atom_site_fract_z
In1 0.250 0.189 0.861
In2 0.250 0.689 0.639
In3 0.750 0.811 0.139
In4 0.750 0.311 0.361
H1 0.250 0.400 0.107
H2 0.750 0.600 0.893
H3 0.750 0.100 0.607
H4 0.250 0.900 0.393
Ba1 0.250 0.649 0.943
Ba2 0.750 0.851 0.443
Ba3 0.750 0.924 0.804
Ba4 0.250 0.149 0.557
Ba5 0.750 0.351 0.057
Ba6 0.250 0.076 0.196
Ba7 0.750 0.424 0.696
Ba8 0.250 0.576 0.304

***

[2]
# BaInH | Alexandria via LeMat-Bulk | PBE | relaxed
# Energy above the most stable polymorph in this dataset, meV/atom: 62.2
# Magnetization, μB per atom: 0.00
# Fermi-level density of states, states/eV per cell: 2.94
# Space-group type: No. 26
# E, eV/atom: -2.900
data_BaInH
_chemical_formula_sum 'Ba2 In2 H2'
_cell_length_a 3.457
_cell_length_b 4.563
_cell_length_c 9.530
_cell_angle_alpha 90.00
_cell_angle_beta 90.00
_cell_angle_gamma 90.00
_symmetry_space_group_name_H-M 'P 1'
_symmetry_Int_Tables_number 1
_symmetry_space_group_name_Hall 'P 1'
loop_
_atom_site_label
_atom_site_fract_x
_atom_site_fract_y
_atom_site_fract_z
In1 0.811 0.716 0.486
In2 0.811 0.216 0.307
Ba1 0.312 0.216 0.728
Ba2 0.312 0.716 0.065
H1 0.812 0.717 0.828
H2 0.812 0.217 0.965

***

[3]
# Ba3InH | Alexandria via LeMat-Bulk | PBE | relaxed
# Energy above the most stable polymorph in this dataset, meV/atom: 13.4
# Magnetization, μB per atom: 0.00
# Fermi-level density of states, states/eV per cell: 8.29
# Space-group type: No. 12
# E, eV/atom: -2.648
data_Ba3InH
_chemical_formula_sum 'Ba6 In2 H2'
_cell_length_a 6.008
_cell_length_b 7.975
_cell_length_c 9.432
_cell_angle_alpha 110.60
_cell_angle_beta 108.57
_cell_angle_gamma 90.00
_symmetry_space_group_name_H-M 'P 1'
_symmetry_Int_Tables_number 1
_symmetry_space_group_name_Hall 'P 1'
loop_
_atom_site_label
_atom_site_fract_x
_atom_site_fract_y
_atom_site_fract_z
Ba1 0.954 0.231 0.909
Ba2 0.046 0.769 0.091
Ba3 0.300 0.242 0.601
Ba4 0.616 0.224 0.232
Ba5 0.700 0.758 0.399
Ba6 0.384 0.776 0.768
H1 0.557 0.854 0.115
H2 0.443 0.146 0.885
In1 0.835 0.506 0.670
In2 0.165 0.494 0.330

***

Please write out number 3 again, unchanged.
# Ba3InH | Alexandria via LeMat-Bulk | PBE | relaxed
# Energy above the most stable polymorph in this dataset, meV/atom: 13.4
# Magnetization, μB per atom: 0.00
# Fermi-level density of states, states/eV per cell: 8.29
# Space-group type: No. 12
# E, eV/atom: -2.648
data_Ba3InH
_chemical_formula_sum 'Ba6 In2 H2'
_cell_length_a 6.008
_cell_length_b 7.975
_cell_length_c 9.432
_cell_angle_alpha 110.60
_cell_angle_beta 108.57
_cell_angle_gamma 90.00
_symmetry_space_group_name_H-M 'P 1'
_symmetry_Int_Tables_number 1
_symmetry_space_group_name_Hall 'P 1'
loop_
_atom_site_label
_atom_site_fract_x
_atom_site_fract_y
_atom_site_fract_z
Ba1 0.954 0.231 0.909
Ba2 0.046 0.769 0.091
Ba3 0.300 0.242 0.601
Ba4 0.616 0.224 0.232
Ba5 0.700 0.758 0.399
Ba6 0.384 0.776 0.768
H1 0.557 0.854 0.115
H2 0.443 0.146 0.885
In1 0.835 0.506 0.670
In2 0.165 0.494 0.330

***

> Among the records above, which one has the lowest E?

BaInH

***

> E of number 3 (Ba3InH)?

-2.648 eV/atom

***

> What is the energy above the most stable polymorph in this dataset in the second record?

62.2 meV/atom